# PrSm2In3 (PBE-GGA, relaxed)
# Offset from the most stable computed form   5 meV/atom
# Calculated volume   28.692 Å³ per atom
# E_tot   -25.4 eV/cell
# Magnetization   0.00 μB/f.u.
# Calculated formation energy   -0.49 eV per atom
data_PrSm2In3
_chemical_formula_sum 'Pr1 Sm2 In3'
_cell_length_a 5.4509
_cell_length_b 5.4509
_cell_length_c 6.6903
_cell_angle_alpha 90.00
_cell_angle_beta 90.00
_cell_angle_gamma 120.00
_space_group_name_H-M_alt 'P -3 m 1'
_space_group_IT_number 164
_space_group_name_Hall '-P 3 2"'
loop_
_atom_site_label
_atom_site_fract_x
_atom_site_fract_y
_atom_site_fract_z
Pr1 0.0000 0.0000 0.0000
Sm1 0.3333 0.6667 0.6633
In1 0.0000 0.0000 0.5000
In2 0.3333 0.6667 0.1675

# LiTm2 (PBE-GGA, relaxed)
# Offset from the most stable computed form   0 meV/atom
# Calculated volume   26.457 Å³ per atom
# E_tot   -21.1 eV/cell
# Magnetization   0.00 μB/f.u.
# Calculated formation energy   0.10 eV per atom
data_LiTm2
_chemical_formula_sum 'Li2 Tm4'
_cell_length_a 3.5829
_cell_length_b 3.5829
_cell_length_c 12.3656
_cell_angle_alpha 90.00
_cell_angle_beta 90.00
_cell_angle_gamma 90.00
_space_group_name_H-M_alt 'I 4/m m m'
_space_group_IT_number 139
_space_group_name_Hall '-I 4 2'
loop_
_atom_site_label
_atom_site_fract_x
_atom_site_fract_y
_atom_site_fract_z
Li1 0.0000 0.0000 0.0000
Tm1 0.0000 0.0000 0.3449

# Cu5W (PBE-GGA, relaxed)
# Offset from the most stable computed form   253 meV/atom
# Calculated volume   12.703 Å³ per atom
# E_tot   -124.5 eV/cell
# Magnetization   0.49 μB/f.u.
# Calculated formation energy   0.38 eV per atom
data_Cu5W
_chemical_formula_sum 'Cu20 W4'
_cell_length_a 6.7303
_cell_length_b 6.7303
_cell_length_c 6.7303
_cell_angle_alpha 90.00
_cell_angle_beta 90.00
_cell_angle_gamma 90.00
_space_group_name_H-M_alt 'F -4 3 m'
_space_group_IT_number 216
_space_group_name_Hall 'F -4 2 3'
loop_
_atom_site_label
_atom_site_fract_x
_atom_site_fract_y
_atom_site_fract_z
Cu1 0.0000 0.0000 0.0000
Cu2 0.1250 0.1250 0.6250
W1 0.2500 0.2500 0.2500

# PuMgTc2 (PBE-GGA, relaxed)
# Offset from the most stable computed form   37 meV/atom
# Calculated volume   17.165 Å³ per atom
# E_tot   -36.1 eV/cell
# Magnetization   2.06 μB/f.u.
# Calculated formation energy   0.13 eV per atom
data_PuMgTc2
_chemical_formula_sum 'Pu1 Mg1 Tc2'
_cell_length_a 4.5046
_cell_length_b 4.5046
_cell_length_c 3.3837
_cell_angle_alpha 90.00
_cell_angle_beta 90.00
_cell_angle_gamma 90.00
_space_group_name_H-M_alt 'P 4/m m m'
_space_group_IT_number 123
_space_group_name_Hall '-P 4 2'
loop_
_atom_site_label
_atom_site_fract_x
_atom_site_fract_y
_atom_site_fract_z
Pu1 0.0000 0.0000 0.0000
Mg1 0.5000 0.5000 0.0000
Tc1 0.0000 0.5000 0.5000

# Pr5Si2 (PBE-GGA, relaxed)
# Calculated volume   30.434 Å³ per atom
# E_tot   -150.2 eV/cell
# Magnetization   0.00 μB/f.u.
# Formation energy without anion corrections   -2.811 eV/f.u.
data_Pr5Si2
_chemical_formula_sum 'Pr20 Si8'
_cell_length_a 16.0972
_cell_length_b 6.5794
_cell_length_c 8.1171
_cell_angle_alpha 90.00
_cell_angle_beta 97.59
_cell_angle_gamma 90.00
_space_group_name_H-M_alt 'C 1 2/c 1'
_space_group_IT_number 15
_space_group_name_Hall '-C 2yc'
loop_
_atom_site_label
_atom_site_fract_x
_atom_site_fract_y
_atom_site_fract_z
Pr1 0.0000 0.1080 0.2500
Pr2 0.0917 0.3755 0.9255
Pr3 0.2224 0.0973 0.3105
Si1 0.1050 0.1957 0.5828

# LiCa2Ac (PBE-GGA, relaxed)
# Offset from the most stable computed form   0 meV/atom
# Calculated volume   37.235 Å³ per atom
# E_tot   -9.8 eV/cell
# Magnetization   0.00 μB/f.u.
# Calculated formation energy   0.05 eV per atom
data_LiCa2Ac
_chemical_formula_sum 'Li1 Ca2 Ac1'
_cell_length_a 3.9875
_cell_length_b 3.9875
_cell_length_c 9.3674
_cell_angle_alpha 90.00
_cell_angle_beta 90.00
_cell_angle_gamma 90.00
_space_group_name_H-M_alt 'P 4/m m m'
_space_group_IT_number 123
_space_group_name_Hall '-P 4 2'
loop_
_atom_site_label
_atom_site_fract_x
_atom_site_fract_y
_atom_site_fract_z
Li1 0.0000 0.0000 0.0000
Ca1 0.5000 0.5000 0.2069
Ac1 0.0000 0.0000 0.5000